1.
Crystalline TbGeB4 at its relaxed geometry, computed with PBE.

Unit cell a=3.174 b=3.174 c=7.799 alpha=90.00 beta=90.00 gamma=120.00
Fractional positions:
Tb1 0.000 0.000 0.000
Ge1 0.000 0.000 0.500
B1 0.333 0.667 0.254
B2 0.333 0.667 0.746
B3 0.667 0.333 0.254
B4 0.667 0.333 0.746

E above lowest polymorph in meV per atom: 136
Symmetry: P6/mmm (191)

2.
Crystalline Gd3TmC2Se2 at its relaxed geometry, computed with PBE.

Unit cell a=3.779 b=3.779 c=13.355 alpha=90.00 beta=90.00 gamma=120.00
Fractional positions:
Gd1 0.000 0.000 0.000
Gd2 0.000 0.000 0.302
Gd3 0.667 0.333 0.796
Tm1 0.667 0.333 0.499
C1 0.333 0.667 0.403
C2 0.333 0.667 0.897
Se1 0.000 0.000 0.644
Se2 0.667 0.333 0.150

Symmetry: P3m1 (156)

3.
Crystalline ScFeSnMo at its relaxed geometry, computed with PBE.

Unit cell a=4.575 b=4.575 c=4.575 alpha=60.00 beta=60.00 gamma=60.00
Fractional positions:
Sc1 0.000 0.000 0.000
Fe1 0.750 0.750 0.750
Sn1 0.500 0.500 0.500
Mo1 0.250 0.250 0.250

E above lowest polymorph in meV per atom: 0
Symmetry: F-43m (216)

4.
Crystalline La2AuSe3 at its relaxed geometry, computed with PBE.

Unit cell a=8.753 b=4.210 c=16.791 alpha=90.00 beta=90.00 gamma=90.00
Fractional positions:
La1 0.064 0.250 0.218
La2 0.248 0.250 0.975
La3 0.252 0.750 0.475
La4 0.436 0.750 0.718
La5 0.564 0.250 0.282
La6 0.748 0.250 0.525
La7 0.752 0.750 0.025
La8 0.936 0.750 0.782
Au1 0.120 0.250 0.637
Au2 0.380 0.750 0.137
Au3 0.620 0.250 0.863
Au4 0.880 0.750 0.363
Se1 0.034 0.250 0.407
Se2 0.096 0.750 0.079
Se3 0.205 0.250 0.788
Se4 0.295 0.750 0.288
Se5 0.404 0.250 0.579
Se6 0.466 0.750 0.907
Se7 0.534 0.250 0.093
Se8 0.596 0.750 0.421
Se9 0.705 0.250 0.712
Se10 0.795 0.750 0.212
Se11 0.904 0.250 0.921
Se12 0.966 0.750 0.593

Symmetry: Pnma (62)

5.
Crystalline PrZnPd at its relaxed geometry, computed with PBE.

Unit cell a=4.852 b=4.852 c=4.852 alpha=60.00 beta=60.00 gamma=60.00
Fractional positions:
Pr1 0.000 0.000 0.000
Zn1 0.250 0.250 0.250
Pd1 0.750 0.750 0.750

Symmetry: F-43m (216)
Calculated formation energy in meV/atom: -42

6.
Crystalline MgInFePt at its relaxed geometry, computed with PBE.

Unit cell a=4.535 b=4.535 c=4.535 alpha=60.00 beta=60.00 gamma=60.00
Fractional positions:
Mg1 0.000 0.000 0.000
In1 0.500 0.500 0.500
Fe1 0.750 0.750 0.750
Pt1 0.250 0.250 0.250

E above lowest polymorph in meV per atom: 0
Symmetry: F-43m (216)

no.,final energy (eV per atom)
1,-5.9418
2,-6.6075
3,-7.2435
4,-5.3756
5,-3.7798
6,-4.8576